# 1
Entry from Alexandria: a relaxed Pm2GeBi crystal (PBE).

Properties
The value obtained for the formation energy is -0.65 eV per atom. The calculated density comes out at 8.7 Mg/m³. The value obtained for the density of states at the Fermi level is 2.9 states/eV/cell.

Cell: 3.543 3.543 8.721 Å, 90.00 90.00 90.00°
Space group P4/mmm (No. 123)
Symmetry-distinct sites (fractional):
1 Pm 0.000 0.000 0.220 (multiplicity 2)
2 Ge 0.500 0.500 0.000 (multiplicity 1)
3 Bi 0.500 0.500 0.500 (multiplicity 1)

# 2
Entry from Alexandria: a relaxed PmCdIn2 crystal (PBE).

Properties
The value obtained for the formation energy is -0.28 eV per atom. The calculated density comes out at 7.6 Mg/m³. The value obtained for the density of states at the Fermi level is 5.0 states/eV/cell.

Cell: 4.7889 4.7889 16.1620 Å, 90.00 90.00 120.00°
Space group R-3m (No. 166, hexagonal axes)
Symmetry-distinct sites (fractional):
1 Pm 0.0000 0.0000 0.0000 (multiplicity 3)
2 Cd 0.0000 0.0000 0.5000 (multiplicity 3)
3 In 0.0000 0.0000 0.2294 (multiplicity 6)